Gd3SbO7 | PBE | optimized geometry

abc: 7.619 7.560 10.716
angles: 90.00 90.00 90.00
Site moments in Bohr magnetons follow the coordinates.
Sites, in units of the cell vectors:
1 O 0.733 0.254 0.116  0.01
2 O 0.949 0.967 0.875  0.00
3 O 0.267 0.746 0.884  0.01
4 Gd 0.032 0.746 0.020  6.92
5 Gd 0.532 0.754 0.980  6.92
6 O 0.579 0.036 0.615  0.00
7 O 0.449 0.533 0.375  0.00
8 O 0.079 0.464 0.385  0.00
9 Sb 0.754 0.001 0.750  0.00
10 Gd 0.968 0.254 0.520  6.92
11 O 0.662 0.753 0.750  0.00
12 Sb 0.254 0.499 0.250  0.00
13 O 0.767 0.754 0.116  0.01
14 Gd 0.783 0.009 0.250  6.93
15 Sb 0.746 0.501 0.750  0.00
16 O 0.551 0.467 0.625  0.00
17 O 0.421 0.964 0.385  0.00
18 O 0.421 0.964 0.115  0.00
19 O 0.162 0.747 0.250  0.00
20 Gd 0.468 0.246 0.020  6.92
21 O 0.051 0.033 0.125  0.00
22 Sb 0.246 0.999 0.250  0.00
23 O 0.267 0.746 0.616  0.01
24 O 0.338 0.247 0.250  0.00
25 O 0.921 0.536 0.885  0.00
26 Gd 0.532 0.754 0.520  6.92
27 O 0.767 0.754 0.384  0.01
28 O 0.921 0.536 0.615  0.00
29 O 0.949 0.967 0.625  0.00
30 O 0.551 0.467 0.875  0.00
31 Gd 0.217 0.991 0.750  6.93
32 O 0.838 0.253 0.750  0.00
33 O 0.733 0.254 0.384  0.01
34 O 0.233 0.246 0.616  0.01
35 Gd 0.468 0.246 0.480  6.92
36 O 0.079 0.464 0.115  0.00
37 O 0.449 0.533 0.125  0.00
38 O 0.579 0.036 0.885  0.00
39 Gd 0.283 0.491 0.750  6.93
40 Gd 0.717 0.509 0.250  6.93
41 Gd 0.032 0.746 0.480  6.92
42 Gd 0.968 0.254 0.980  6.92
43 O 0.051 0.033 0.375  0.00
44 O 0.233 0.246 0.884  0.01

Values from the calculation:
DOS(E_F) = 0.00 states/eV per cell
Raw formation energy = -2902 meV per atom

***

BaCaMg2Tc | PBE | optimized geometry

abc: 5.811 5.201 5.811
angles: 90.00 90.00 90.00
Site moments in Bohr magnetons follow the coordinates.
Sites, in units of the cell vectors:
1 Tc 0.000 0.500 0.000  2.21
2 Ba 0.500 0.500 0.500  -0.03
3 Mg 0.000 0.000 0.500  -0.01
4 Mg 0.500 0.000 0.000  -0.01
5 Ca 0.000 0.000 0.000  -0.05

Values from the calculation:
DFT formation energy = 0.96 eV/atom
DOS(E_F) = 4.92 states/eV per cell

***

LaHf2Ta2 | PBE | optimized geometry

abc: 8.633 8.633 3.170
angles: 90.00 90.00 90.00
Sites, in units of the cell vectors:
1 La 0.500 0.500 0.000
2 Ta 0.611 0.111 0.000
3 Ta 0.889 0.611 0.000
4 La 0.000 0.000 0.000
5 Ta 0.389 0.889 0.000
6 Hf 0.319 0.181 0.500
7 Hf 0.819 0.319 0.500
8 Hf 0.181 0.681 0.500
9 Ta 0.111 0.389 0.000
10 Hf 0.681 0.819 0.500

Values from the calculation:
DFT formation energy = 0.33 eV/atom
DOS(E_F) = 7.59 states/eV per cell